The following is a PBE calculation of a relaxed structure of CaTbHo2, from Alexandria via LeMat-Bulk.

```
data_CaTbHo2
_cell_length_a 5.728
_cell_length_b 5.728
_cell_length_c 5.728
_cell_angle_alpha 60.00
_cell_angle_beta 60.00
_cell_angle_gamma 60.00
_space_group_name_H-M_alt 'P 1'
_space_group_IT_number 1
loop_
_space_group_symop_operation_xyz
'x,y,z'
loop_
_atom_site_label
_atom_site_type_symbol
_atom_site_fract_x
_atom_site_fract_y
_atom_site_fract_z
_atom_site_occupancy
Ca1 Ca 0.000 0.000 0.000 1
Tb1 Tb 0.500 0.500 0.500 1
Ho1 Ho 0.250 0.250 0.250 1
Ho2 Ho 0.750 0.750 0.750 1
```

Values from the calculation:
**Offset from the most stable computed form**: 0.118 eV per atom
**Symmetry**: No. 225
**DOS(E_F)**: 8.43 states/eV/f.u.
**Energy**: -3.7641 eV per atom
**Calculated density**: 6.609 Mg/m³

---

The following is a PBE calculation of a relaxed structure of Pm2Tl2Pt15, from Alexandria via LeMat-Bulk.

```
data_Pm2Tl2Pt15
_cell_length_a 7.087
_cell_length_b 7.087
_cell_length_c 7.087
_cell_angle_alpha 84.14
_cell_angle_beta 84.14
_cell_angle_gamma 84.14
_space_group_name_H-M_alt 'P 1'
_space_group_IT_number 1
loop_
_space_group_symop_operation_xyz
'x,y,z'
loop_
_atom_site_label
_atom_site_type_symbol
_atom_site_fract_x
_atom_site_fract_y
_atom_site_fract_z
_atom_site_occupancy
Pm1 Pm 0.143 0.143 0.143 1
Pm2 Pm 0.857 0.857 0.857 1
Tl1 Tl 0.394 0.394 0.394 1
Tl2 Tl 0.606 0.606 0.606 1
Pt1 Pt 0.000 0.500 0.500 1
Pt2 Pt 0.159 0.159 0.673 1
Pt3 Pt 0.159 0.673 0.159 1
Pt4 Pt 0.171 0.500 0.829 1
Pt5 Pt 0.171 0.829 0.500 1
Pt6 Pt 0.327 0.841 0.841 1
Pt7 Pt 0.500 0.000 0.500 1
Pt8 Pt 0.500 0.171 0.829 1
Pt9 Pt 0.500 0.500 0.000 1
Pt10 Pt 0.500 0.829 0.171 1
Pt11 Pt 0.673 0.159 0.159 1
Pt12 Pt 0.829 0.171 0.500 1
Pt13 Pt 0.829 0.500 0.171 1
Pt14 Pt 0.841 0.327 0.841 1
Pt15 Pt 0.841 0.841 0.327 1
```

Values from the calculation:
**Symmetry**: No. 166
**DOS(E_F)**: 12.70 states/eV/f.u.
**Energy**: -5.9335 eV per atom
**Calculated density**: 17.164 Mg/m³